Run one
Below is a geometry-optimized MgRe3O structure, with properties calculated at the PBE level.

```
MgRe3O
1.0
4.5227 0.0000 0.0000
0.0000 4.5227 0.0000
0.0000 0.0000 4.5227
Re O Mg
3 1 1
direct
0.0000 0.5000 0.0000
0.5000 0.0000 0.0000
0.0000 0.0000 0.5000
0.5000 0.5000 0.5000
0.0000 0.0000 0.0000
```

* SG: Pm-3m (221)
* calculated density: 10.75 Mg/m³
* DOS at the Fermi energy: 1.596 states/eV per atom

---

Run two
Below is a geometry-optimized MgRe3O structure, with properties calculated at the PBE level.

```
MgRe3O
1.0
4.1255 0.0000 0.0000
0.0000 4.1255 0.0000
0.0000 0.0000 4.1255
Re O Mg
3 1 1
direct
0.5000 0.0000 0.0000
0.0000 0.0000 0.5000
0.0000 0.5000 0.0000
0.0000 0.0000 0.0000
0.5000 0.5000 0.5000
```

* SG: Pm-3m (221)
* calculated density: 14.16 Mg/m³
* DOS at the Fermi energy: 1.267 states/eV per atom

---

Order from most stable to least stable according to the calculation: run two, run one

---

Run one
Below is a geometry-optimized MgRh2O4 structure, with properties calculated at the PBE level.

```
MgRh2O4
1.0
-3.2823 -1.8056 -1.0950
2.0641 -3.1706 -0.9589
-1.2151 -4.3710 3.8942
O Rh Mg
4 2 1
direct
0.0000 0.5000 0.0000
0.2008 0.2008 0.5984
0.5000 0.0000 0.0000
0.7992 0.7992 0.4016
0.3746 0.3746 0.2509
0.6254 0.6254 0.7491
0.0000 0.0000 0.0000
```

* SG: I4/mmm (139)
* calculated density: 6.05 Mg/m³
* DOS at the Fermi energy: 0.862 states/eV per atom

---

Run two
Below is a geometry-optimized MgRh2O4 structure, with properties calculated at the PBE level.

```
MgRh2O4
1.0
6.1241 0.0000 0.0000
3.0621 5.3036 0.0000
3.0621 1.7679 5.0003
Mg O Rh
2 8 4
direct
0.5000 0.5000 0.5000
0.7500 0.7500 0.7500
0.8852 0.8852 0.8852
0.8852 0.3445 0.8852
0.3648 0.9055 0.3648
0.3445 0.8852 0.8852
0.8852 0.8852 0.3445
0.3648 0.3648 0.9055
0.3648 0.3648 0.3648
0.9055 0.3648 0.3648
0.1250 0.1250 0.6250
0.1250 0.1250 0.1250
0.1250 0.6250 0.1250
0.6250 0.1250 0.1250
```

* SG: Fd-3m (227)
* calculated density: 6.01 Mg/m³

---

Order from most stable to least stable according to the calculation: run two, run one

---

Run one
Below is a geometry-optimized MgRh3O structure, with properties calculated at the PBE level.

```
MgRh3O
1.0
4.5998 0.0000 0.0000
0.0000 4.5998 0.0000
0.0000 0.0000 4.5998
Rh Mg O
3 1 1
direct
0.0000 0.0000 0.5000
0.5000 0.0000 0.0000
0.0000 0.5000 0.0000
0.0000 0.0000 0.0000
0.5000 0.5000 0.5000
```

* SG: Pm-3m (221)
* calculated density: 5.96 Mg/m³
* DOS at the Fermi energy: 1.426 states/eV per atom

---

Run two
Below is a geometry-optimized MgRh3O structure, with properties calculated at the PBE level.

```
MgRh3O
1.0
4.1314 0.0000 0.0000
0.0000 4.1314 0.0000
0.0000 0.0000 4.1314
Rh Mg O
3 1 1
direct
0.0000 0.0000 0.5000
0.0000 0.5000 0.0000
0.5000 0.0000 0.0000
0.5000 0.5000 0.5000
0.0000 0.0000 0.0000
```

* SG: Pm-3m (221)
* calculated density: 8.22 Mg/m³
* DOS at the Fermi energy: 1.242 states/eV per atom

---

Order from most stable to least stable according to the calculation: run two, run one

---

Run one
Below is a geometry-optimized MgRh2O structure, with properties calculated at the PBE level.

```
MgRh2O
1.0
0.0000 2.9967 2.9967
2.9967 0.0000 2.9967
2.9967 2.9967 0.0000
Rh Mg O
2 1 1
direct
0.7500 0.7500 0.7500
0.2500 0.2500 0.2500
0.5000 0.5000 0.5000
0.0000 0.0000 0.0000
```

* SG: Fm-3m (225)
* calculated density: 7.59 Mg/m³
* DOS at the Fermi energy: 1.191 states/eV per atom

---

Run two
Below is a geometry-optimized MgRh2O structure, with properties calculated at the PBE level.

```
MgRh2O
1.0
-2.0490 3.5513 -2.2590
-0.8826 -2.8192 -3.6313
-7.1284 -1.2350 -0.3259
O Rh Mg
2 4 2
direct
0.5000 0.5000 0.0000
0.2500 0.7500 0.5000
0.8750 0.7086 0.7500
0.2914 0.6250 0.2500
0.4586 0.1250 0.2500
0.3750 0.5414 0.7500
0.7500 0.2500 0.5000
0.0000 0.0000 0.0000
```

* SG: I-42d (122)
* calculated density: 5.79 Mg/m³
* DOS at the Fermi energy: 0.306 states/eV per atom

---

Order from most stable to least stable according to the calculation: run two, run one

---

Run one
Below is a geometry-optimized Y2MgRhO structure, with properties calculated at the PBE level.

```
Y2MgRhO
1.0
4.7092 0.0000 0.0000
0.0000 4.3625 0.0000
0.0000 0.0000 4.7092
O Rh Y Mg
1 1 2 1
direct
0.0000 0.0000 0.0000
0.0000 0.5000 0.0000
0.0000 0.0000 0.5000
0.5000 0.0000 0.0000
0.5000 0.5000 0.5000
```

* SG: P4/mmm (123)
* calculated density: 5.51 Mg/m³
* DOS at the Fermi energy: 0.804 states/eV per atom

---

Run two
Below is a geometry-optimized Y2MgRhO structure, with properties calculated at the PBE level.

```
Y2MgRhO
1.0
4.7696 0.0000 0.0000
0.0000 4.7696 0.0000
0.0000 0.0000 4.0591
Mg Rh Y O
1 1 2 1
direct
0.0000 0.0000 0.5000
0.5000 0.5000 0.5000
0.5000 0.0000 0.0000
0.0000 0.5000 0.0000
0.0000 0.0000 0.0000
```

* SG: P4/mmm (123)
* calculated density: 5.77 Mg/m³
* DOS at the Fermi energy: 0.417 states/eV per atom

---

Order from most stable to least stable according to the calculation: run two, run one

---

Run one
Below is a geometry-optimized Sr4Tb2MgRu2O12 structure, with properties calculated at the PBE level.

```
Sr4Tb2MgRu2O12
1.0
5.7419 0.0020 0.0052
-0.0168 6.0817 -0.0075
-0.1409 -0.6607 8.5994
Ru O Sr Mg Tb
2 12 4 1 2
direct
0.0075 0.0348 0.9989
0.4960 0.4518 0.5108
0.4125 0.4580 0.7401
0.1759 0.6017 0.4465
0.2807 0.8269 0.0241
0.0746 0.0137 0.7691
0.7846 0.7707 0.9543
0.9404 0.0264 0.2496
0.7656 0.2386 0.5544
0.6509 0.4594 0.2918
0.7457 0.2446 0.9680
0.2137 0.3041 0.0505
0.2888 0.1796 0.4691
0.6902 0.7162 0.5704
0.9837 0.4567 0.7596
0.9968 0.6323 0.1700
0.5026 0.0800 0.2178
0.5164 0.0099 0.7609
0.9748 0.3211 0.3849
0.4983 0.5249 0.9837
0.0000 0.9196 0.5237
```

* SG: P1 (1)
* calculated density: 6.01 Mg/m³
* DOS at the Fermi energy: 0.338 states/eV per atom

---

Run two
Below is a geometry-optimized Sr4Tb2MgRu2O12 structure, with properties calculated at the PBE level.

```
Sr4Tb2MgRu2O12
1.0
5.9370 0.1149 0.0659
0.4494 6.3071 0.0494
0.1554 0.2283 8.1759
Sr Tb O Ru Mg
4 2 12 2 1
direct
0.8608 0.4047 0.2253
0.9605 0.5477 0.7169
0.5986 0.9523 0.2536
0.5184 0.9963 0.7689
0.0433 0.0600 0.5228
0.4257 0.4703 0.9818
0.0392 0.0488 0.2483
0.7068 0.2389 0.5037
0.1558 0.2787 0.9381
0.4272 0.4928 0.2556
0.2471 0.3193 0.5587
0.3005 0.7883 0.4762
0.7788 0.6791 0.4471
0.5412 0.5762 0.7378
0.3266 0.8339 0.0241
0.9003 0.7312 0.0808
0.9586 0.9332 0.7681
0.6953 0.1960 0.0027
0.0123 0.0084 0.9976
0.4987 0.5113 0.5009
0.1709 0.7450 0.2489
```

* SG: P1 (1)
* calculated density: 5.91 Mg/m³
* DOS at the Fermi energy: 0.394 states/eV per atom

---

Run three
Below is a geometry-optimized Sr4Tb2MgRu2O12 structure, with properties calculated at the PBE level.

```
Sr4Tb2MgRu2O12
1.0
-5.1917 0.8403 2.5192
0.1541 -5.4989 2.6596
3.5084 3.0268 6.9845
Mg Sr O Tb Ru
1 4 12 2 2
direct
0.6386 0.1846 0.8761
0.9909 0.5522 0.2653
0.0637 0.4372 0.7579
0.4481 0.8805 0.6939
0.5040 0.0740 0.2580
0.4175 0.4898 0.2651
0.5740 0.4805 0.7485
0.8199 0.3114 0.0401
0.0844 0.9770 0.2323
0.6889 0.7648 0.4577
0.3139 0.1812 0.9510
0.7171 0.8611 0.0380
0.2077 0.6828 0.5348
0.9060 0.0452 0.7638
0.7640 0.2914 0.4489
0.1919 0.7307 0.9479
0.2958 0.2085 0.5320
0.5180 0.5749 0.0213
0.9823 0.9975 0.4957
0.0240 0.0110 0.0031
0.4951 0.4824 0.4968
```

* SG: P1 (1)
* calculated density: 6.06 Mg/m³
* DOS at the Fermi energy: 0.373 states/eV per atom

---

Order from most stable to least stable according to the calculation: run three, run one, run two

---

Run one
Below is a geometry-optimized Sr4Y2MgRu2O12 structure, with properties calculated at the PBE level.

```
Sr4Y2MgRu2O12
1.0
-4.1541 -4.1062 0.9965
4.6407 -3.2236 2.7902
-2.1578 3.5572 7.0483
Sr Y Mg O Ru
4 2 1 12 2
direct
0.0389 0.0455 0.2820
0.1376 0.9054 0.7723
0.4028 0.4546 0.7463
0.4830 0.4974 0.2323
0.5710 0.9718 0.0178
0.9593 0.5565 0.4778
0.8285 0.2452 0.7523
0.1021 0.2318 0.9197
0.7004 0.2878 0.5241
0.5731 0.9922 0.7448
0.2934 0.7382 0.4962
0.0401 0.4339 0.2321
0.2217 0.1816 0.5516
0.7545 0.8173 0.4424
0.4602 0.0749 0.2621
0.9600 0.5492 0.7517
0.8409 0.7787 0.0615
0.6733 0.3334 0.9762
0.3028 0.6971 0.9973
0.5024 0.0109 0.4991
0.9874 0.5092 0.0024
```

* SG: P1 (1)
* calculated density: 5.17 Mg/m³
* DOS at the Fermi energy: 0.392 states/eV per atom

---

Run two
Below is a geometry-optimized Sr4Y2MgRu2O12 structure, with properties calculated at the PBE level.

```
Sr4Y2MgRu2O12
1.0
5.9168 -0.0168 0.0366
0.0604 5.9830 -0.0066
0.5002 0.1508 8.4215
Sr O Ru Y Mg
4 12 2 2 1
direct
0.5228 0.4528 0.7567
0.9000 0.9138 0.6997
0.9931 0.0536 0.2748
0.4828 0.5444 0.2601
0.2462 0.2922 0.4566
0.8525 0.1703 0.9637
0.5857 0.9811 0.2425
0.1718 0.7741 0.4623
0.6922 0.6936 0.5327
0.7072 0.7184 0.9562
0.3348 0.3020 0.0385
0.4361 0.0273 0.7732
0.7723 0.2253 0.5326
0.2392 0.8209 0.0558
0.0560 0.5097 0.7339
0.9179 0.4859 0.2657
0.9795 0.4935 0.4983
0.5484 0.9980 0.0159
0.4617 0.0016 0.5002
0.0136 0.5311 0.0100
0.1696 0.0833 0.9236
```

* SG: P1 (1)
* calculated density: 5.27 Mg/m³
* DOS at the Fermi energy: 0.342 states/eV per atom

---

Order from most stable to least stable according to the calculation: run two, run one

---

Run one
Below is a geometry-optimized MgS2O structure, with properties calculated at the PBE level.

```
MgS2O
1.0
0.0000 3.1079 3.1079
3.1079 0.0000 3.1079
3.1079 3.1079 0.0000
S Mg O
2 1 1
direct
0.2500 0.2500 0.2500
0.7500 0.7500 0.7500
0.5000 0.5000 0.5000
0.0000 0.0000 0.0000
```

* SG: Fm-3m (225)
* calculated density: 2.89 Mg/m³
* DOS at the Fermi energy: 0.836 states/eV per atom

---

Run two
Below is a geometry-optimized MgS2O structure, with properties calculated at the PBE level.

```
MgS2O
1.0
2.3031 0.0000 5.7488
-1.1516 1.9946 5.7488
-1.1516 -1.9946 5.7488
S Mg O
2 1 1
direct
0.0968 0.0968 0.0968
0.9032 0.9032 0.9032
0.5000 0.5000 0.5000
0.0000 0.0000 0.0000
```

* SG: R-3m (166)
* calculated density: 2.19 Mg/m³
* DOS at the Fermi energy: 0.223 states/eV per atom

---

Order from most stable to least stable according to the calculation: run two, run one

---

Run one
Below is a geometry-optimized MgS2O structure, with properties calculated at the PBE level.

```
MgS2O
1.0
5.0369 0.0000 0.0000
0.0000 5.0369 0.0000
2.5184 2.5184 5.8722
O S Mg
2 4 2
direct
0.5000 0.5000 0.0000
0.2500 0.7500 0.5000
0.5312 0.1250 0.2500
0.3750 0.4688 0.7500
0.8750 0.7812 0.7500
0.2188 0.6250 0.2500
0.7500 0.2500 0.5000
0.0000 0.0000 0.0000
```

* SG: I-42d (122)
* calculated density: 2.33 Mg/m³
* DOS at the Fermi energy: 0.149 states/eV per atom

---

Run two
Below is a geometry-optimized MgS2O structure, with properties calculated at the PBE level.

```
MgS2O
1.0
1.8059 0.0000 7.8208
-0.9029 1.5639 7.8208
-0.9029 -1.5639 7.8208
Mg S O
1 2 1
direct
0.0000 0.0000 0.0000
0.8966 0.8966 0.8966
0.1034 0.1034 0.1034
0.5000 0.5000 0.5000
```

* SG: R-3m (166)
* calculated density: 2.62 Mg/m³
* DOS at the Fermi energy: 0.968 states/eV per atom

---

Order from most stable to least stable according to the calculation: run one, run two

---

Run one
Below is a geometry-optimized Mg2SO structure, with properties calculated at the PBE level.

```
Mg2SO
1.0
5.2198 0.0000 0.0000
0.0000 5.2198 0.0000
2.6099 2.6099 4.8329
O S Mg
2 2 4
direct
0.2500 0.7500 0.5000
0.5000 0.5000 0.0000
0.0000 0.0000 0.0000
0.7500 0.2500 0.5000
0.5550 0.1250 0.2500
0.8750 0.8050 0.7500
0.3750 0.4450 0.7500
0.1950 0.6250 0.2500
```

* SG: I-42d (122)
* calculated density: 2.44 Mg/m³
* DOS at the Fermi energy: 0.000 states/eV per atom

---

Run two
Below is a geometry-optimized Mg2SO structure, with properties calculated at the PBE level.

```
Mg2SO
1.0
2.5641 1.1420 3.1873
1.6572 3.9093 0.0957
-1.3346 2.8018 2.8994
S Mg O
1 2 1
direct
0.5000 0.5000 0.5000
0.2500 0.2500 0.2500
0.7500 0.7500 0.7500
0.0000 0.0000 0.0000
```

* SG: Fm-3m (225)
* calculated density: 2.96 Mg/m³
* DOS at the Fermi energy: 0.000 states/eV per atom

---

Order from most stable to least stable according to the calculation: run one, run two